Entry from the Alexandria database: a PBEsol-optimized structure of KLiNF2 (meta-GGA SCAN).

Unit cell a=4.8724 b=4.8724 c=4.9044 alpha=90.00 beta=90.00 gamma=90.00
Closest atoms and distances in Å follow each position.
Space group P4/mmm (No. 123)
Inequivalent atoms, fractional coordinates:
K: 0.0000 0.0000 0.0000 [1 per cell]  4 F 2.44, 2 N 2.45
Li: 0.5000 0.5000 0.5000 [1 per cell]  4 N 3.45, 8 F 3.46
N: 0.0000 0.0000 0.5000 [1 per cell]  2 K 2.45
F: 0.0000 0.5000 0.0000 [2 per cell]  2 K 2.44

Output
* uncorrected formation energy: -294 kJ/mol of formula units
* total magnetic moment: 3.05 μB per cell

---

Entry from the Alexandria database: a PBEsol-optimized structure of LiYF4 (meta-GGA SCAN).

Unit cell a=5.0285 b=5.2614 c=5.2603 alpha=90.00 beta=90.08 gamma=90.00
Closest atoms and distances in Å follow each position.
Space group P2/c (No. 13)
Inequivalent atoms, fractional coordinates:
Li: 0.0000 0.2493 0.2500 [2 per cell]  4 F 1.91
Y: 0.5000 0.2500 0.7500 [2 per cell]  8 F 2.26
F: 0.2620 0.0643 0.0639 [4 per cell]  1 Li 1.91
F: 0.2623 0.4355 0.4349 [4 per cell]  1 Li 1.91

Output
* N(E_F): 0.000 states/eV/f.u.
* energy relative to the lowest polymorph listed for this composition: 0.017 eV/atom
* uncorrected formation energy: -2328 kJ/mol of formula units
* total magnetic moment: 0.00 μB per cell

---

Entry from the Alexandria database: a PBEsol-optimized structure of Li2HgAu (meta-GGA SCAN).

Unit cell a=3.9929 b=3.9929 c=8.1545 alpha=90.00 beta=90.00 gamma=90.00
Closest atoms and distances in Å follow each position.
Space group I-4m2 (No. 119)
Inequivalent atoms, fractional coordinates:
Li: 0.0000 0.0000 0.0000 [2 per cell]  4 Hg 2.82, 4 Li 2.85, 4 Au 2.85
Li: 0.0000 0.5000 0.2500 [2 per cell]  4 Au 2.82, 4 Hg 2.85, 4 Li 2.85
Hg: 0.0000 0.0000 0.5000 [2 per cell]  8 Li 2.82-2.85, 4 Au 2.85
Au: 0.0000 0.5000 0.7500 [2 per cell]  8 Li 2.82-2.85, 4 Hg 2.85

Output
* N(E_F): 1.150 states/eV/f.u.
* energy relative to the lowest polymorph listed for this composition: 0.016 eV/atom
* total magnetic moment: 0.00 μB per cell

---

Entry from the Alexandria database: a PBEsol-optimized structure of HfMgSe2Br (meta-GGA SCAN).

Unit cell a=4.9714 b=4.9714 c=4.7119 alpha=90.00 beta=90.00 gamma=90.00
Closest atoms and distances in Å follow each position.
Space group P4/mmm (No. 123)
Inequivalent atoms, fractional coordinates:
Hf: 0.0000 0.0000 0.0000 [1 per cell]  8 Se 3.42, 4 Br 3.52
Mg: 0.5000 0.5000 0.5000 [1 per cell]  2 Br 2.36, 4 Se 2.49
Se: 0.0000 0.5000 0.5000 [2 per cell]  2 Mg 2.49
Br: 0.5000 0.5000 0.0000 [1 per cell]  2 Mg 2.36

Output
* N(E_F): 2.711 states/eV/f.u.
* uncorrected formation energy: -68 kJ/mol of formula units
* total magnetic moment: 0.92 μB per cell

---

Entry from the Alexandria database: a PBEsol-optimized structure of Cu5Sn4 (meta-GGA SCAN).

Unit cell a=12.6277 b=7.2749 c=10.0673 alpha=90.00 beta=90.54 gamma=90.00
Closest atoms and distances in Å follow each position.
Space group C2 (No. 5)
Inequivalent atoms, fractional coordinates:
Cu: 0.0000 0.0000 0.0000 [2 per cell]  6 Cu 2.60-2.70, 5 Sn 2.60-2.71
Cu: 0.0079 0.3167 0.8743 [4 per cell]  4 Cu 2.53-2.63, 6 Sn 2.69-2.82
Cu: 0.0087 0.3337 0.6233 [4 per cell]  3 Cu 2.49-2.65, 6 Sn 2.67-2.75
Cu: 0.1601 0.8625 0.8742 [4 per cell]  4 Cu 2.53-2.61, 4 Sn 2.62-2.78
Cu: 0.1659 0.8390 0.1257 [4 per cell]  4 Cu 2.53-2.70, 5 Sn 2.69-2.83
Cu: 0.1684 0.8563 0.6234 [4 per cell]  3 Cu 2.49-2.65, 4 Sn 2.66-2.74
Cu: 0.1702 0.1763 0.7490 [4 per cell]  6 Cu 2.60-2.69, 5 Sn 2.61-2.73
Cu: 0.1747 0.8322 0.3769 [4 per cell]  3 Cu 2.49-2.60, 4 Sn 2.61-2.77
Sn: 0.0000 0.6426 0.0000 [2 per cell]  7 Cu 2.60-2.88
Sn: 0.0000 0.6698 0.5000 [2 per cell]  6 Cu 2.74-2.80
Sn: 0.0096 0.9900 0.2694 [4 per cell]  8 Cu 2.61-2.79
Sn: 0.1502 0.4981 0.2492 [4 per cell]  7 Cu 2.61-2.88
Sn: 0.1638 0.5344 0.7512 [4 per cell]  7 Cu 2.61-2.85
Sn: 0.1684 0.1762 0.4797 [4 per cell]  7 Cu 2.66-2.74
Sn: 0.1793 0.1857 0.0196 [4 per cell]  8 Cu 2.62-2.78

Output
* N(E_F): 2.616 states/eV/f.u.
* energy relative to the lowest polymorph listed for this composition: 0.003 eV/atom
* total magnetic moment: 0.00 μB per cell

---

Entry from the Alexandria database: a PBEsol-optimized structure of LaNiC2 (meta-GGA SCAN).

Unit cell a=3.9371 b=4.5280 c=6.0301 alpha=90.00 beta=90.00 gamma=90.00
Closest atoms and distances in Å follow each position.
Space group Amm2 (No. 38)
Inequivalent atoms, fractional coordinates:
La: 0.0000 0.0000 0.0000 [2 per cell]  8 C 2.76-2.80, 6 Ni 3.06-3.07
Ni: 0.5000 0.0000 0.6106 [2 per cell]  4 C 1.95-1.99
C: 0.5000 0.1511 0.3001 [4 per cell]  1 C 1.37

Output
* N(E_F): 1.873 states/eV/f.u.
* total magnetic moment: 0.00 μB per cell

---

Entry from the Alexandria database: a PBEsol-optimized structure of AlZnFe2 (meta-GGA SCAN).

Unit cell a=3.6099 b=3.6099 c=7.4222 alpha=90.00 beta=90.00 gamma=90.00
Closest atoms and distances in Å follow each position.
Space group I-4m2 (No. 119)
Inequivalent atoms, fractional coordinates:
Al: 0.0000 0.0000 0.0000 [2 per cell]  8 Fe 2.55-2.59, 4 Zn 2.59
Zn: 0.0000 0.5000 0.7500 [2 per cell]  8 Fe 2.55-2.59, 4 Al 2.59
Fe: 0.0000 0.0000 0.5000 [2 per cell]  4 Al 2.55, 4 Fe 2.59, 4 Zn 2.59
Fe: 0.0000 0.5000 0.2500 [2 per cell]  4 Zn 2.55, 4 Fe 2.59, 4 Al 2.59

Output
* N(E_F): 2.181 states/eV/f.u.
* total magnetic moment: 9.75 μB per cell

---

Entry from the Alexandria database: a PBEsol-optimized structure of FeSbTe2Mo (meta-GGA SCAN).

Unit cell a=5.1893 b=5.1893 c=5.1887 alpha=90.00 beta=90.00 gamma=90.00
Closest atoms and distances in Å follow each position.
Space group P4/mmm (No. 123)
Inequivalent atoms, fractional coordinates:
Fe: 0.0000 0.0000 0.0000 [1 per cell]  8 Te 3.67, 4 Sb 3.67
Sb: 0.5000 0.5000 0.0000 [1 per cell]  2 Mo 2.59
Te: 0.0000 0.5000 0.5000 [2 per cell]  2 Mo 2.59
Mo: 0.5000 0.5000 0.5000 [1 per cell]  2 Sb 2.59, 4 Te 2.59

Output
* N(E_F): 4.802 states/eV/f.u.
* uncorrected formation energy: 478 kJ/mol of formula units
* total magnetic moment: 3.13 μB per cell

---

Entry from the Alexandria database: a PBEsol-optimized structure of LiTm2Co (meta-GGA SCAN).

Unit cell a=6.6549 b=6.6549 c=6.6549 alpha=90.00 beta=90.00 gamma=90.00
Closest atoms and distances in Å follow each position.
Space group Fm-3m (No. 225)
Inequivalent atoms, fractional coordinates:
Li: 0.0000 0.0000 0.0000 [4 per cell]  8 Tm 2.88
Tm: 0.2500 0.2500 0.2500 [8 per cell]  4 Li 2.88, 4 Co 2.88
Co: 0.0000 0.0000 0.5000 [4 per cell]  8 Tm 2.88

Output
* N(E_F): 2.074 states/eV/f.u.
* total magnetic moment: 0.55 μB per cell

---

Entry from the Alexandria database: a PBEsol-optimized structure of HfInPt2 (meta-GGA SCAN).

Unit cell a=3.3438 b=3.3438 c=6.3950 alpha=90.00 beta=90.00 gamma=90.00
Closest atoms and distances in Å follow each position.
Space group P4/mmm (No. 123)
Inequivalent atoms, fractional coordinates:
Hf: 0.0000 0.0000 0.0000 [1 per cell]  8 Pt 2.78
In: 0.0000 0.0000 0.5000 [1 per cell]  8 Pt 2.94, 2 Hf 3.20
Pt: 0.5000 0.5000 0.2273 [2 per cell]  4 Hf 2.78, 1 Pt 2.91, 4 In 2.94

Output
* N(E_F): 1.472 states/eV/f.u.
* total magnetic moment: 0.00 μB per cell

---

Entry from the Alexandria database: a PBEsol-optimized structure of Mg2RePb (meta-GGA SCAN).

Unit cell a=3.6052 b=4.6513 c=9.5116 alpha=90.00 beta=90.00 gamma=90.00
Closest atoms and distances in Å follow each position.
Space group Cmmm (No. 65)
Inequivalent atoms, fractional coordinates:
Mg: 0.0000 0.0000 0.2134 [4 per cell]  2 Re 2.71, 4 Mg 2.94
Re: 0.0000 0.5000 0.0000 [2 per cell]  4 Mg 2.71, 4 Re 2.94
Pb: 0.0000 0.5000 0.5000 [2 per cell]  4 Pb 2.94, 4 Mg 3.27

Output
* N(E_F): 2.219 states/eV/f.u.
* total magnetic moment: 0.00 μB per cell

---

Entry from the Alexandria database: a PBEsol-optimized structure of Ba2PIr (meta-GGA SCAN).

Unit cell a=4.3959 b=4.8903 c=10.4978 alpha=90.00 beta=90.00 gamma=90.00
Closest atoms and distances in Å follow each position.
Space group Amm2 (No. 38)
Inequivalent atoms, fractional coordinates:
Ba: 0.0000 0.0000 0.0000 [2 per cell]  3 Ir 3.14-3.28, 4 P 3.50
Ba: 0.5000 0.0000 0.3020 [2 per cell]  3 P 3.14-3.28, 4 Ir 3.50
P: 0.5000 0.0000 0.6148 [2 per cell]  2 Ir 2.33
Ir: 0.0000 0.0000 0.6875 [2 per cell]  2 P 2.33

Output
* N(E_F): 1.483 states/eV/f.u.
* total magnetic moment: 0.00 μB per cell

---

Entry from the Alexandria database: a PBEsol-optimized structure of Sr3Te4O11 (meta-GGA SCAN).

Unit cell a=7.4864 b=9.1431 c=9.5532 alpha=98.33 beta=109.91 gamma=102.12
Closest atoms and distances in Å follow each position.
Space group P1 (No. 1)
Inequivalent atoms, fractional coordinates:
Sr: 0.0000 0.0000 0.0000 [1 per cell]  8 O 2.51-2.74
Sr: 0.0120 0.4850 0.5002 [1 per cell]  6 O 2.45-2.73
Sr: 0.4000 0.4323 0.2657 [1 per cell]  6 O 2.45-2.73
Sr: 0.4122 0.9179 0.7659 [1 per cell]  8 O 2.51-2.74
Sr: 0.5710 0.0415 0.2038 [1 per cell]  7 O 2.44-2.70
Sr: 0.8413 0.8768 0.5620 [1 per cell]  7 O 2.44-2.70
Te: 0.1551 0.6497 0.9238 [1 per cell]  3 O 1.86-2.00
Te: 0.2012 0.1490 0.4212 [1 per cell]  3 O 1.88-1.94
Te: 0.2110 0.7683 0.3447 [1 per cell]  3 O 1.88-1.94
Te: 0.2573 0.2685 0.8420 [1 per cell]  3 O 1.86-2.00
Te: 0.6165 0.5859 0.6797 [1 per cell]  3 O 1.88-1.92
Te: 0.6881 0.7041 0.1066 [1 per cell]  3 O 1.87-2.07
Te: 0.7241 0.2138 0.6593 [1 per cell]  3 O 1.87-2.07
Te: 0.7959 0.3321 0.0862 [1 per cell]  3 O 1.88-1.93
O: 0.0034 0.8257 0.1971 [1 per cell]  1 Te 1.94
O: 0.0196 0.3317 0.7259 [1 per cell]  2 Te 2.00-2.07
O: 0.1005 0.7731 0.4939 [1 per cell]  1 Te 1.88
O: 0.1249 0.5528 0.2661 [1 per cell]  1 Te 1.89
O: 0.1499 0.0565 0.7519 [1 per cell]  1 Te 1.88
O: 0.1886 0.2657 0.0115 [1 per cell]  1 Te 1.86
O: 0.2242 0.6518 0.7544 [1 per cell]  1 Te 1.86
O: 0.2626 0.8619 0.0130 [1 per cell]  1 Te 1.88
O: 0.2872 0.3644 0.5002 [1 per cell]  1 Te 1.89
O: 0.3115 0.1446 0.2719 [1 per cell]  1 Te 1.88
O: 0.3925 0.5868 0.0408 [1 per cell]  2 Te 2.00-2.07
O: 0.4091 0.0914 0.5683 [1 per cell]  1 Te 1.94
O: 0.5001 0.7218 0.5722 [1 per cell]  1 Te 1.89
O: 0.5441 0.1809 0.9761 [1 per cell]  1 Te 1.93
O: 0.6567 0.8604 0.9998 [1 per cell]  1 Te 1.88
O: 0.6691 0.8037 0.2842 [1 per cell]  1 Te 1.87
O: 0.6959 0.5024 0.5266 [1 per cell]  1 Te 1.88
O: 0.7160 0.4151 0.2392 [1 per cell]  1 Te 1.88
O: 0.7438 0.1151 0.4817 [1 per cell]  1 Te 1.87
O: 0.7557 0.0573 0.7657 [1 per cell]  1 Te 1.88
O: 0.8684 0.7371 0.7893 [1 per cell]  1 Te 1.92
O: 0.9121 0.1960 0.1935 [1 per cell]  1 Te 1.89

Output
* N(E_F): 0.000 states/eV/f.u.
* uncorrected formation energy: -3460 kJ/mol of formula units
* total magnetic moment: 0.00 μB per cell

---

Entry from the Alexandria database: a PBEsol-optimized structure of FePIr2 (meta-GGA SCAN).

Unit cell a=2.7999 b=4.2762 c=8.7793 alpha=90.00 beta=90.00 gamma=90.00
Closest atoms and distances in Å follow each position.
Space group Immm (No. 71)
Inequivalent atoms, fractional coordinates:
Fe: 0.0000 0.0000 0.0000 [2 per cell]  4 P 2.56, 2 Fe 2.80, 4 Ir 2.84
P: 0.0000 0.0000 0.5000 [2 per cell]  4 Ir 2.34, 4 Fe 2.56
Ir: 0.0000 0.5000 0.2135 [4 per cell]  2 P 2.34

Output
* N(E_F): 2.243 states/eV/f.u.
* total magnetic moment: 5.57 μB per cell

---

Entry from the Alexandria database: a PBEsol-optimized structure of Zn2CrIr (meta-GGA SCAN).

Unit cell a=2.7519 b=2.7519 c=6.9146 alpha=90.00 beta=90.00 gamma=90.00
Closest atoms and distances in Å follow each position.
Space group P4mm (No. 99)
Inequivalent atoms, fractional coordinates:
Zn: 0.0000 0.0000 0.0000 [1 per cell]  8 Zn 2.65-2.75, 4 Ir 2.67
Zn: 0.5000 0.5000 0.2611 [1 per cell]  4 Cr 2.59, 8 Zn 2.65-2.75
Cr: 0.0000 0.0000 0.5085 [1 per cell]  4 Ir 2.50, 4 Zn 2.59, 4 Cr 2.75
Ir: 0.5000 0.5000 0.7354 [1 per cell]  4 Cr 2.50, 4 Zn 2.67, 4 Ir 2.75

Output
* N(E_F): 1.422 states/eV/f.u.
* energy relative to the lowest polymorph listed for this composition: 0.000 eV/atom
* total magnetic moment: 1.18 μB per cell

---

Entry from the Alexandria database: a PBEsol-optimized structure of HAu2F (meta-GGA SCAN).

Unit cell a=5.7837 b=5.7837 c=5.7837 alpha=90.00 beta=90.00 gamma=90.00
Closest atoms and distances in Å follow each position.
Space group Fm-3m (No. 225)
Inequivalent atoms, fractional coordinates:
H: 0.0000 0.0000 0.0000 [4 per cell]  8 Au 2.50
Au: 0.2500 0.2500 0.2500 [8 per cell]  4 F 2.50, 4 H 2.50
F: 0.0000 0.0000 0.5000 [4 per cell]  8 Au 2.50

Output
* N(E_F): 0.950 states/eV/f.u.
* total magnetic moment: 0.00 μB per cell

---

Entry from the Alexandria database: a PBEsol-optimized structure of KCeF4 (meta-GGA SCAN).

Unit cell a=6.2557 b=3.7299 c=15.5324 alpha=90.00 beta=90.00 gamma=90.00
Closest atoms and distances in Å follow each position.
Space group Pnma (No. 62)
Inequivalent atoms, fractional coordinates:
K: 0.2199 0.2500 0.2024 [4 per cell]  7 F 2.59-2.72
Ce: 0.2477 0.7500 0.4386 [4 per cell]  9 F 2.30-2.51
F: 0.0048 0.2500 0.0598 [4 per cell]  3 Ce 2.44-2.46, 1 K 2.59, 2 F 2.63
F: 0.0916 0.2500 0.8052 [4 per cell]  1 Ce 2.30
F: 0.0994 0.2500 0.3640 [4 per cell]  2 Ce 2.38, 2 K 2.59-2.62
F: 0.1383 0.2500 0.5370 [4 per cell]  3 Ce 2.44-2.51, 1 F 2.70

Output
* N(E_F): 1.130 states/eV/f.u.
* uncorrected formation energy: -2263 kJ/mol of formula units
* total magnetic moment: 4.00 μB per cell

---

Entry from the Alexandria database: a PBEsol-optimized structure of NdDy3 (meta-GGA SCAN).

Unit cell a=4.9506 b=4.9506 c=4.9506 alpha=90.00 beta=90.00 gamma=90.00
Closest atoms and distances in Å follow each position.
Space group Pm-3m (No. 221)
Inequivalent atoms, fractional coordinates:
Nd: 0.0000 0.0000 0.0000 [1 per cell]  12 Dy 3.50
Dy: 0.0000 0.5000 0.5000 [3 per cell]  8 Dy 3.50, 4 Nd 3.50

Output
* N(E_F): 4.712 states/eV/f.u.
* total magnetic moment: 0.00 μB per cell

---

Entry from the Alexandria database: a PBEsol-optimized structure of Hf6Ga16Rh7 (meta-GGA SCAN).

Unit cell a=12.1742 b=12.1742 c=12.1742 alpha=90.00 beta=90.00 gamma=90.00
Closest atoms and distances in Å follow each position.
Space group Fm-3m (No. 225)
Inequivalent atoms, fractional coordinates:
Hf: 0.0000 0.0000 0.1911 [24 per cell]  4 Ga 2.72
Ga: 0.1220 0.1220 0.3780 [32 per cell]  4 Rh 2.57-2.66, 3 Ga 2.76
Ga: 0.1561 0.1561 0.1561 [32 per cell]  3 Rh 2.50, 3 Hf 2.72, 3 Ga 2.76
Rh: 0.0000 0.0000 0.5000 [4 per cell]  8 Ga 2.57
Rh: 0.0000 0.2500 0.2500 [24 per cell]  8 Ga 2.50-2.66

Output
* N(E_F): 14.290 states/eV/f.u.
* total magnetic moment: 0.00 μB per cell

---

Entry from the Alexandria database: a PBEsol-optimized structure of Sc2MoAu (meta-GGA SCAN).

Unit cell a=2.9983 b=2.9983 c=28.9652 alpha=90.00 beta=90.00 gamma=120.00
Closest atoms and distances in Å follow each position.
Space group R3m (No. 160, hexagonal axes)
Inequivalent atoms, fractional coordinates:
Sc: 0.0000 0.0000 0.0000 [3 per cell]  3 Mo 2.89, 6 Sc 3.00
Sc: 0.0000 0.0000 0.2371 [3 per cell]  3 Au 2.88, 6 Sc 3.00
Mo: 0.0000 0.0000 0.7464 [3 per cell]  3 Au 2.84, 3 Sc 2.89, 6 Mo 3.00
Au: 0.0000 0.0000 0.4909 [3 per cell]  3 Mo 2.84, 3 Sc 2.88, 6 Au 3.00

Output
* N(E_F): 4.412 states/eV/f.u.
* energy relative to the lowest polymorph listed for this composition: 0.423 eV/atom
* total magnetic moment: 2.14 μB per cell

---

Values of uncorrected energy, in order: -30.138, -137.045, -288.422, -127.964, -1317.347, -161.566, -116.406, -159.824, -494.783, -240.208, -310.862, -327.162, -640.465, -342.051, -117.090, -576.826, -362.008, -186.895, -3576.835, -395.577, all in eV per cell.